No. 1
12
Lattice="9.4151 -2.1524 0.0000 9.4151 2.1524 0.0000 -2.0113 0.0000 8.4346" Properties=species:S:1:pos:R:3 comment="Y3Er2ScTe6 | Alexandria | PBE | optimized geometry" e_form_raw_ev_per_atom=-1.2399 crystal_system=monoclinic pbc="T T T"
Y 0.0000 0.0000 0.0000
Y 4.8655 0.0000 5.5918
Y 11.9533 0.0000 2.8427
Er 5.9466 0.0000 1.4093
Er 10.8723 0.0000 7.0253
Sc -1.0056 0.0000 4.2173
Te 1.8570 0.0000 4.9234
Te 2.9896 0.0000 0.6894
Te 7.9094 0.0000 6.2386
Te 8.9095 0.0000 2.1960
Te 13.8293 0.0000 7.7451
Te 14.9619 0.0000 3.5112

=====

No. 2
22
Lattice="4.2786 2.4702 4.1710 -4.2786 2.4702 4.1710 0.0000 -4.9404 4.1710" Properties=species:S:1:pos:R:3 comment="Lu2Fe17C3 | Alexandria | PBE | optimized geometry" delta_e_f_ev_per_atom=-0.09 crystal_system=trigonal pbc="T T T"
Lu 0.0000 0.0000 1.9821
Lu 0.0000 0.0000 10.5310
Fe -2.1393 -1.2351 4.1710
Fe 0.0000 -2.4288 3.9924
Fe -2.1034 1.2144 3.9924
Fe -1.2136 -2.1020 6.2566
Fe -2.4272 0.0000 6.2566
Fe -2.1034 -1.2144 8.5208
Fe 0.0000 0.0000 5.0539
Fe -2.1393 1.2351 8.3421
Fe 1.2136 -2.1020 6.2566
Fe 0.0000 2.4702 4.1710
Fe -1.2136 2.1020 6.2566
Fe 0.0000 0.0000 7.4593
Fe 2.1034 1.2144 3.9924
Fe 2.4272 0.0000 6.2566
Fe 1.2136 2.1020 6.2566
Fe 2.1034 -1.2144 8.5208
Fe 0.0000 2.4288 8.5208
C -4.2786 0.0000 6.2566
C -2.1393 1.2351 2.0855
C 2.1393 1.2351 2.0855

=====

No. 3
5
Lattice="5.5211 0.0000 0.0000 0.0000 5.5211 0.0000 0.0000 0.0000 5.1996" Properties=species:S:1:pos:R:3 comment="InReAgSn2 | Alexandria | PBE | optimized geometry" delta_e_f_ev_per_atom=1.59 crystal_system=tetragonal pbc="T T T"
In 0.0000 0.0000 0.0000
Re 0.0000 0.0000 2.5998
Ag 2.7605 2.7605 2.5998
Sn 0.0000 2.7605 0.0000
Sn 2.7605 0.0000 0.0000

=====

No. 4
10
Lattice="0.0000 5.5277 5.5277 5.5277 0.0000 5.5277 5.5277 5.5277 0.0000" Properties=species:S:1:pos:R:3 comment="Cs2PrAgCl6 | Alexandria | PBE | optimized geometry" e_form_raw_ev_per_atom=-1.8314 crystal_system=cubic pbc="T T T"
Cs 2.7638 2.7638 2.7638
Cs 8.2915 8.2915 8.2915
Pr 0.0000 0.0000 0.0000
Ag 5.5277 5.5277 5.5277
Cl 5.5277 5.5277 2.7548
Cl 5.5277 2.7548 5.5277
Cl 8.3006 5.5277 5.5277
Cl 2.7548 5.5277 5.5277
Cl 5.5277 8.3006 5.5277
Cl 5.5277 5.5277 8.3006

=====

No. 5
14
Lattice="4.0416 -7.0003 0.0000 4.0416 7.0003 0.0000 0.0000 0.0000 5.1426" Properties=species:S:1:pos:R:3 comment="Nd3InN3 | Alexandria | PBE | optimized geometry" e_form_raw_ev_per_atom=-0.8225 crystal_system=orthorhombic pbc="T T T"
Nd 4.0416 4.5771 3.8570
Nd 2.1026 1.2105 3.8570
Nd 2.1026 -1.2105 1.2857
Nd 5.9806 1.2105 3.8570
Nd 5.9806 -1.2105 1.2857
Nd 4.0416 -4.5771 1.2857
In 4.0416 2.3358 1.2857
In 4.0416 -2.3358 3.8570
N 2.0148 1.1589 1.2857
N 4.0416 4.6799 1.2857
N 2.0148 -1.1589 3.8570
N 6.0685 1.1589 1.2857
N 4.0416 -4.6799 3.8570
N 6.0685 -1.1589 3.8570

=====

No. 6
5
Lattice="5.1178 0.0000 0.0000 0.0000 5.1178 0.0000 0.0000 0.0000 5.5229" Properties=species:S:1:pos:R:3 comment="LaScAs2I | Alexandria | PBE | optimized geometry" e_form_raw_ev_per_atom=-0.7020 crystal_system=tetragonal pbc="T T T"
La 0.0000 0.0000 0.0000
Sc 2.5589 2.5589 2.7614
As 0.0000 2.5589 2.7614
As 2.5589 0.0000 2.7614
I 2.5589 2.5589 0.0000

=====

No. 7
4
Lattice="3.1114 0.0000 0.0000 0.0000 3.1114 0.0000 0.0000 0.0000 7.8537" Properties=species:S:1:pos:R:3 comment="Zr2AgCl | Alexandria | PBE | optimized geometry" e_form_raw_ev_per_atom=-0.2280 crystal_system=tetragonal pbc="T T T"
Zr 0.0000 0.0000 1.8393
Zr 0.0000 0.0000 6.0144
Ag 1.5557 1.5557 3.9269
Cl 1.5557 1.5557 0.0000

=====

No. 8
11
Lattice="8.5841 -2.5264 0.0000 8.5841 2.5264 0.0000 -1.8251 0.0000 6.4180" Properties=species:S:1:pos:R:3 comment="Tm8NiAu2 | Alexandria | PBE | optimized geometry" delta_e_f_ev_per_atom=-0.40 crystal_system=monoclinic pbc="T T T"
Tm -0.0323 0.0000 1.8367
Tm 2.0055 0.0000 5.2224
Tm 4.8876 0.0000 3.4235
Tm 6.9318 0.0000 0.4104
Tm 8.4112 0.0000 6.0076
Tm 10.4554 0.0000 2.9945
Tm 13.3376 0.0000 1.1955
Tm 15.3753 0.0000 4.5812
Ni 7.6715 0.0000 3.2090
Au 2.8120 0.0000 1.4481
Au 12.5311 0.0000 4.9698

=====

No. 9
3
Lattice="0.0000 3.1223 3.1223 3.1223 0.0000 3.1223 3.1223 3.1223 0.0000" Properties=species:S:1:pos:R:3 comment="PtAuCl | Alexandria | PBE | optimized geometry" e_form_raw_ev_per_atom=0.9694 crystal_system=cubic pbc="T T T"
Pt 0.0000 0.0000 0.0000
Au 3.1223 3.1223 3.1223
Cl 4.6834 4.6834 4.6834

=====

No. 10
11
Lattice="-2.6061 5.2932 6.6158 2.6061 -5.2932 6.6158 2.6061 5.2932 -6.6158" Properties=species:S:1:pos:R:3 comment="Dy5Ho2Tl4 | Alexandria | PBE | optimized geometry" delta_e_f_ev_per_atom=0.13 crystal_system=orthorhombic pbc="T T T"
Dy 0.0000 0.0000 0.0000
Dy 2.6061 3.6385 -2.8893
Dy 0.0000 1.6548 3.7264
Dy 2.6061 3.6385 2.8893
Dy 0.0000 1.6548 9.5051
Ho 2.6061 0.0000 2.2373
Ho 0.0000 5.2932 4.3785
Tl 2.6061 2.2115 0.0000
Tl 2.6061 0.0000 5.1766
Tl 0.0000 5.2932 1.4392
Tl 0.0000 3.0818 6.6158

=====

No. 11
10
Lattice="6.1252 0.0000 0.0000 0.0000 6.1252 0.0000 0.0000 0.0000 3.1648" Properties=species:S:1:pos:R:3 comment="Hf2NiC2 | Alexandria | PBE | optimized geometry" delta_e_f_ev_per_atom=-0.29 crystal_system=tetragonal pbc="T T T"
Hf 0.9930 2.0696 0.0000
Hf 2.0696 5.1322 0.0000
Hf 4.0556 0.9930 0.0000
Hf 5.1322 4.0556 0.0000
Ni 0.0000 0.0000 1.5824
Ni 3.0626 3.0626 1.5824
C 0.9688 4.0314 1.5824
C 2.0938 0.9688 1.5824
C 4.0314 5.1564 1.5824
C 5.1564 2.0938 1.5824

=====

No. 12
12
Lattice="7.7659 0.0000 0.0000 0.0000 7.7659 0.0000 0.0000 0.0000 7.7659" Properties=species:S:1:pos:R:3 comment="CrBi | Alexandria | PBE | optimized geometry" delta_e_f_ev_per_atom=0.91 crystal_system=cubic pbc="T T T"
Cr 0.0000 1.9415 3.8829
Cr 0.0000 5.8244 3.8829
Cr 1.9415 3.8829 0.0000
Cr 3.8829 0.0000 1.9415
Cr 3.8829 0.0000 5.8244
Cr 5.8244 3.8829 0.0000
Bi 0.0000 3.8829 1.9415
Bi 0.0000 3.8829 5.8244
Bi 1.9415 0.0000 3.8829
Bi 3.8829 1.9415 0.0000
Bi 3.8829 5.8244 0.0000
Bi 5.8244 0.0000 3.8829

=====

Per-record density, g/cm³: 6.86; 8.38; 6.77; 3.58; 6.73; 5.29; 7.12; 10.76; 11.66; 8.92; 12.30; 5.55